# Zr2Ti2Tl

A relaxed Zr2Ti2Tl crystal (GGA-PBE, the Alexandria database).

a b c (Å): 7.352 7.352 3.847
angles (deg): 90.00 90.00 90.00
Space group P4/mbm (No. 127)
Asymmetric unit:
Zr1 0.168 0.332 0.000 x4
Ti1 0.128 0.628 0.500 x4
Tl1 0.000 0.000 0.500 x2

Values from the calculation:
energy above the most stable polymorph in this dataset = 18.6 meV/atom
DFT formation energy = 20 meV/atom
total DFT energy (no corrections) = -35.15 eV per formula unit

# ZrVNi

A relaxed ZrVNi crystal (GGA-PBE, the Alexandria database).

a b c (Å): 2.980 2.980 10.636
angles (deg): 90.00 90.00 90.00
Space group I4mm (No. 107)
Asymmetric unit:
Zr1 0.000 0.000 0.000 x2
V1 0.000 0.000 0.690 x2
Ni1 0.000 0.000 0.306 x2

Values from the calculation:
energy above the most stable polymorph in this dataset = 144.5 meV/atom
DFT formation energy = -97 meV/atom
total DFT energy (no corrections) = -23.74 eV per formula unit

# MgTiBe

A relaxed MgTiBe crystal (GGA-PBE, the Alexandria database).

a b c (Å): 4.3605 4.3605 5.4311
angles (deg): 90.00 90.00 120.00
Space group P6_3/mmc (No. 194)
Asymmetric unit:
Mg1 0.0000 0.0000 0.0000 x2
Ti1 0.3333 0.6667 0.2500 x2
Be1 0.3333 0.6667 0.7500 x2

Values from the calculation:
energy above the most stable polymorph in this dataset = 55.5 meV/atom
DFT formation energy = 147 meV/atom
total DFT energy (no corrections) = -12.78 eV per formula unit

For reference, total magnetic moment by record: 0.00 0.00 0.00 Bohr magnetons per cell.